#a
# GGA-PBE ZrBeAu, relaxed
data_ZrBeAu
_chemical_formula_sum 'Zr4 Be4 Au4'
_cell_length_a 6.266
_cell_length_b 6.266
_cell_length_c 6.266
_cell_angle_alpha 90.00
_cell_angle_beta 90.00
_cell_angle_gamma 90.00
_space_group_name_H-M_alt 'F -4 3 m'
_space_group_IT_number 216
_space_group_name_Hall 'F -4 2 3'
loop_
_atom_site_label
_atom_site_fract_x
_atom_site_fract_y
_atom_site_fract_z
_atom_site_occupancy
Zr1 0.000 0.000 0.000 1
Be1 0.250 0.250 0.250 1
Au1 0.250 0.250 0.750 1
# - total magnetization (μB/f.u.) = 0.005


#b
# GGA-PBE ZrBeAu, relaxed
data_ZrBeAu
_chemical_formula_sum 'Zr4 Be4 Au4'
_cell_length_a 5.922
_cell_length_b 5.922
_cell_length_c 5.922
_cell_angle_alpha 90.00
_cell_angle_beta 90.00
_cell_angle_gamma 90.00
_space_group_name_H-M_alt 'F -4 3 m'
_space_group_IT_number 216
_space_group_name_Hall 'F -4 2 3'
loop_
_atom_site_label
_atom_site_fract_x
_atom_site_fract_y
_atom_site_fract_z
_atom_site_occupancy
Zr1 0.000 0.000 0.000 1
Be1 0.250 0.250 0.750 1
Au1 0.000 0.000 0.500 1
# - total magnetization (μB/f.u.) = 0.002


Stability, highest: #b


#a
First-principles (GGA-PBE) data for crystalline BiAu15 at its relaxed geometry, as listed in OQMD via LeMat-Bulk.

```
data_BiAu15
_chemical_formula_sum 'Bi2 Au30'
_cell_length_a 5.878
_cell_length_b 3.005
_cell_length_c 45.698
_cell_angle_alpha 90.00
_cell_angle_beta 90.02
_cell_angle_gamma 90.00
_space_group_name_H-M_alt 'P 1 21/m 1'
_space_group_IT_number 11
_space_group_name_Hall '-P 2yb'
loop_
_atom_site_label
_atom_site_fract_x
_atom_site_fract_y
_atom_site_fract_z
_atom_site_occupancy
Bi1 0.125 0.250 0.345 1
Au1 0.118 0.250 0.709 1
Au2 0.124 0.250 0.156 1
Au3 0.125 0.250 0.067 1
Au4 0.125 0.250 0.245 1
Au5 0.125 0.250 0.888 1
Au6 0.125 0.250 0.978 1
Au7 0.126 0.250 0.799 1
Au8 0.368 0.750 0.291 1
Au9 0.375 0.750 0.022 1
Au10 0.375 0.750 0.112 1
Au11 0.375 0.750 0.665 1
Au12 0.375 0.750 0.754 1
Au13 0.375 0.750 0.844 1
Au14 0.375 0.750 0.933 1
Au15 0.376 0.750 0.201 1
```


#b
First-principles (GGA-PBE) data for crystalline BiAu15 at its relaxed geometry, as listed in OQMD via LeMat-Bulk.

```
data_BiAu15
_chemical_formula_sum 'Bi2 Au30'
_cell_length_a 8.051
_cell_length_b 3.003
_cell_length_c 35.100
_cell_angle_alpha 90.00
_cell_angle_beta 90.16
_cell_angle_gamma 90.00
_space_group_name_H-M_alt 'P 1 21/m 1'
_space_group_IT_number 11
_space_group_name_Hall '-P 2yb'
loop_
_atom_site_label
_atom_site_fract_x
_atom_site_fract_y
_atom_site_fract_z
_atom_site_occupancy
Bi1 0.128 0.250 0.327 1
Au1 0.121 0.250 0.721 1
Au2 0.122 0.250 0.808 1
Au3 0.123 0.250 0.893 1
Au4 0.125 0.250 0.979 1
Au5 0.126 0.250 0.064 1
Au6 0.127 0.250 0.150 1
Au7 0.127 0.250 0.235 1
Au8 0.373 0.750 0.683 1
Au9 0.373 0.750 0.767 1
Au10 0.373 0.750 0.851 1
Au11 0.374 0.750 0.936 1
Au12 0.375 0.750 0.021 1
Au13 0.375 0.750 0.279 1
Au14 0.376 0.750 0.107 1
Au15 0.376 0.750 0.192 1
```


#c
First-principles (GGA-PBE) data for crystalline BiAu15 at its relaxed geometry, as listed in OQMD via LeMat-Bulk.

```
data_BiAu15
_chemical_formula_sum 'Bi4 Au60'
_cell_length_a 8.364
_cell_length_b 45.919
_cell_length_c 4.175
_cell_angle_alpha 90.00
_cell_angle_beta 90.00
_cell_angle_gamma 90.00
_space_group_name_H-M_alt 'P c c m'
_space_group_IT_number 49
_space_group_name_Hall '-P 2 2c'
loop_
_atom_site_label
_atom_site_fract_x
_atom_site_fract_y
_atom_site_fract_z
_atom_site_occupancy
Bi1 0.168 0.153 0.000 1
Au1 0.116 0.204 0.500 1
Au2 0.121 0.252 0.000 1
Au3 0.124 0.343 0.000 1
Au4 0.125 0.298 0.500 1
Au5 0.125 0.388 0.500 1
Au6 0.125 0.433 0.000 1
Au7 0.125 0.478 0.500 1
Au8 0.368 0.209 0.000 1
Au9 0.373 0.253 0.500 1
Au10 0.374 0.298 0.000 1
Au11 0.375 0.343 0.500 1
Au12 0.375 0.388 0.000 1
Au13 0.375 0.433 0.500 1
Au14 0.375 0.478 0.000 1
Au15 0.392 0.162 0.500 1
```


Stability, highest: #c


#a
First-principles (GGA-PBE) data for crystalline BiAu17 at its relaxed geometry, as listed in OQMD via LeMat-Bulk.

```
data_BiAu17
_chemical_formula_sum 'Bi2 Au34'
_cell_length_a 5.063
_cell_length_b 5.870
_cell_length_c 34.037
_cell_angle_alpha 90.00
_cell_angle_beta 90.24
_cell_angle_gamma 90.00
_space_group_name_H-M_alt 'P 1 21/m 1'
_space_group_IT_number 11
_space_group_name_Hall '-P 2yb'
loop_
_atom_site_label
_atom_site_fract_x
_atom_site_fract_y
_atom_site_fract_z
_atom_site_occupancy
Bi1 0.163 0.250 0.303 1
Au1 0.000 0.000 0.000 1
Au2 0.001 0.005 0.213 1
Au3 0.164 0.250 0.858 1
Au4 0.164 0.750 0.284 1
Au5 0.167 0.250 0.071 1
Au6 0.167 0.750 0.071 1
Au7 0.168 0.750 0.858 1
Au8 0.332 0.001 0.929 1
Au9 0.334 0.001 0.142 1
Au10 0.337 0.006 0.716 1
Au11 0.494 0.250 0.214 1
Au12 0.500 0.250 0.000 1
Au13 0.500 0.250 0.788 1
```


#b
First-principles (GGA-PBE) data for crystalline BiAu17 at its relaxed geometry, as listed in OQMD via LeMat-Bulk.

```
data_BiAu17
_chemical_formula_sum 'Bi4 Au68'
_cell_length_a 10.104
_cell_length_b 5.933
_cell_length_c 33.959
_cell_angle_alpha 90.00
_cell_angle_beta 90.58
_cell_angle_gamma 90.00
_space_group_name_H-M_alt 'P 1 m 1'
_space_group_IT_number 6
_space_group_name_Hall 'P -2y'
loop_
_atom_site_label
_atom_site_fract_x
_atom_site_fract_y
_atom_site_fract_z
_atom_site_occupancy
Bi1 0.000 0.000 0.000 1
Bi2 0.027 0.500 0.980 1
Bi3 0.170 0.000 0.584 1
Bi4 0.670 0.000 0.584 1
Au1 0.003 0.000 0.216 1
Au2 0.003 0.000 0.429 1
Au3 0.003 0.500 0.217 1
Au4 0.006 0.500 0.430 1
Au5 0.084 0.256 0.073 1
Au6 0.087 0.249 0.287 1
Au7 0.089 0.245 0.500 1
Au8 0.166 0.000 0.145 1
Au9 0.166 0.500 0.145 1
Au10 0.171 0.000 0.358 1
Au11 0.171 0.500 0.358 1
Au12 0.171 0.500 0.572 1
Au13 0.251 0.250 0.216 1
Au14 0.255 0.249 0.429 1
Au15 0.272 0.249 0.001 1
Au16 0.334 0.000 0.075 1
Au17 0.335 0.500 0.075 1
Au18 0.336 0.000 0.288 1
Au19 0.336 0.000 0.501 1
Au20 0.336 0.500 0.287 1
Au21 0.338 0.500 0.499 1
Au22 0.417 0.249 0.146 1
Au23 0.420 0.260 0.573 1
Au24 0.421 0.251 0.358 1
Au25 0.502 0.000 0.217 1
Au26 0.502 0.500 0.217 1
Au27 0.503 0.000 0.429 1
Au28 0.506 0.500 0.430 1
Au29 0.508 0.500 0.002 1
Au30 0.510 0.000 0.003 1
Au31 0.584 0.251 0.076 1
Au32 0.587 0.250 0.288 1
Au33 0.588 0.245 0.500 1
Au34 0.668 0.000 0.146 1
Au35 0.669 0.500 0.146 1
Au36 0.670 0.000 0.358 1
Au37 0.670 0.500 0.358 1
Au38 0.671 0.500 0.572 1
Au39 0.748 0.257 0.003 1
Au40 0.752 0.250 0.217 1
Au41 0.755 0.249 0.429 1
Au42 0.834 0.000 0.076 1
Au43 0.836 0.000 0.501 1
Au44 0.836 0.500 0.287 1
Au45 0.837 0.000 0.288 1
Au46 0.837 0.500 0.075 1
Au47 0.838 0.500 0.499 1
Au48 0.919 0.251 0.146 1
Au49 0.920 0.260 0.573 1
Au50 0.921 0.251 0.358 1
```


Stability, highest: #a